# CePrCo

A geometry-optimized CePrCo structure (GGA-PBE, the Alexandria database).

It has space group P-6m2 (No. 187), with a = 4.2058 Å, b = 4.2058 Å, c = 4.8751 Å, α = 90.00°, β = 90.00° and γ = 120.00°. Symmetry generates all atoms from Ce at (0.0000, 0.0000, 0.0000), Pr at (0.3333, 0.6667, 0.5000) and Co at (0.6667, 0.3333, 0.0000).

The calculation puts the relative energy among the computed polymorphs at 34 kJ/mol of formula units.

# Ce2PrCo9

A geometry-optimized Ce2PrCo9 structure (GGA-PBE, the Alexandria database).

It has space group R-3m (No. 166, hexagonal axes), with a = 4.9577 Å, b = 4.9577 Å, c = 24.7754 Å, α = 90.00°, β = 90.00° and γ = 120.00°. Symmetry generates all atoms from Ce at (0.0000, 0.0000, 0.1400), Pr at (0.0000, 0.0000, 0.0000), Co at (0.0000, 0.0000, 0.3326), Co at (0.0000, 0.0000, 0.5000) and Co at (0.0022, 0.5011, 0.0810).

The energy comes out at -6.85 eV per atom.

# CePrCo

A geometry-optimized CePrCo structure (GGA-PBE, the Alexandria database).

It has space group P2_1/c (No. 14), with a = 6.172 Å, b = 7.370 Å, c = 7.244 Å, α = 90.00°, β = 112.54° and γ = 90.00°. Symmetry generates all atoms from Ce at (0.211, 0.143, 0.449), Pr at (0.289, 0.653, 0.588) and Co at (0.135, 0.091, 0.749).

The calculation puts the relative energy among the computed polymorphs at 18 kJ/mol of formula units.

# CePrCoPt

A geometry-optimized CePrCoPt structure (GGA-PBE, the Alexandria database).

It has space group F-43m (No. 216), with a = 7.065 Å, b = 7.065 Å, c = 7.065 Å, α = 90.00°, β = 90.00° and γ = 90.00°. Symmetry generates all atoms from Ce at (0.000, 0.000, 0.000), Pr at (0.000, 0.000, 0.500), Co at (0.250, 0.250, 0.750) and Pt at (0.250, 0.250, 0.250).

The energy comes out at -6.41 eV per atom.

# Ce2PrCoPt

A geometry-optimized Ce2PrCoPt structure (GGA-PBE, the Alexandria database).

It has space group P4mm (No. 99), with a = 4.891 Å, b = 4.891 Å, c = 5.883 Å, α = 90.00°, β = 90.00° and γ = 90.00°. Symmetry generates all atoms from Ce at (0.000, 0.500, 0.000), Pr at (0.000, 0.000, 0.539), Co at (0.000, 0.000, 0.048) and Pt at (0.500, 0.500, 0.705).

The energy comes out at -6.22 eV per atom.

# CePrCoRh

A geometry-optimized CePrCoRh structure (GGA-PBE, the Alexandria database).

It has space group F-43m (No. 216), with a = 6.964 Å, b = 6.964 Å, c = 6.964 Å, α = 90.00°, β = 90.00° and γ = 90.00°. Symmetry generates all atoms from Ce at (0.000, 0.000, 0.000), Pr at (0.000, 0.000, 0.500), Co at (0.250, 0.250, 0.750) and Rh at (0.250, 0.250, 0.250).

The energy comes out at -6.58 eV per atom.